No. 1
First-principles (PBE-GGA) data for crystalline TaNb2Ga at its relaxed geometry, as listed in Alexandria.

Summary:
**Formation enthalpy at 0 K**: -0.13 eV/atom
**Density of states at the Fermi level**: 0.794 states/eV/atom

Unit cell a=5.308 b=4.689 c=5.687 alpha=90.00 beta=96.40 gamma=90.00
Space group P2_1/m (No. 11)
Asymmetric unit:
Ta: 0.129 0.250 0.228 [2 per cell]
Nb: 0.354 0.750 0.049 [2 per cell]
Nb: 0.357 0.750 0.548 [2 per cell]
Ga: 0.150 0.250 0.741 [2 per cell]

No. 2
First-principles (PBE-GGA) data for crystalline TaNb3Ga4 at its relaxed geometry, as listed in Alexandria.

Summary:
**Formation enthalpy at 0 K**: -0.15 eV/atom
**Density of states at the Fermi level**: 0.581 states/eV/atom

Unit cell a=4.983 b=9.946 c=5.636 alpha=90.00 beta=90.00 gamma=90.00
Space group Pmmn (No. 59, origin choice 2)
Asymmetric unit:
Ta: 0.250 0.250 0.115 [2 per cell]
Nb: 0.250 0.501 0.885 [4 per cell]
Nb: 0.250 0.750 0.115 [2 per cell]
Ga: 0.250 0.000 0.379 [4 per cell]
Ga: 0.250 0.250 0.621 [2 per cell]
Ga: 0.250 0.750 0.620 [2 per cell]

Question: What is the formation enthalpy at 0 K in the second record?
Answer: -0.15 eV/atom

Question: Which value of density of states at the Fermi level does entry 2 give?
Answer: 0.581 states/eV/atom

Question: Among the records above, which one has the highest formation enthalpy at 0 K?
Answer: TaNb2Ga